(1)
The following is a PBE calculation of an optimized crystal structure of Pa2Si5Ir3, from Alexandria via LeMat-Bulk.

abc: 9.9807 11.3337 5.9491
angles: 90.00 90.00 90.00
Space group Ibam (No. 72)
Inequivalent atoms, fractional coordinates:
1 Pa 0.2284 0.1325 0.0000 x8
2 Si 0.0000 0.0000 0.2500 x4
3 Si 0.0000 0.2736 0.2500 x8
4 Si 0.1512 0.3894 0.0000 x8
5 Ir 0.0000 0.5000 0.2500 x4
6 Ir 0.1151 0.1396 0.5000 x8

Results
Fermi-level density of states: 0.62 states/eV/atom
DFT total energy: -325.981 eV/cell
Spin magnetization: 0.00 μB/f.u.
Energy relative to the elements, uncorrected: -881 meV/atom

=====

(2)
The following is a PBE calculation of an optimized crystal structure of PaSiIr, from Alexandria via LeMat-Bulk.

abc: 4.3026 4.3026 3.5161
angles: 90.00 90.00 120.00
Space group P-6m2 (No. 187)
Inequivalent atoms, fractional coordinates:
1 Pa 0.0000 0.0000 0.0000 x1
2 Si 0.3333 0.6667 0.5000 x1
3 Ir 0.6667 0.3333 0.5000 x1

Results
Fermi-level density of states: 0.79 states/eV/atom
DFT total energy: -26.589 eV/cell
Spin magnetization: 0.00 μB/f.u.
Energy relative to the elements, uncorrected: -936 meV/atom

=====

(3)
The following is a PBE calculation of an optimized crystal structure of PaSiIr2, from Alexandria via LeMat-Bulk.

abc: 4.0845 4.0845 15.0027
angles: 90.00 90.00 120.00
Space group R-3m (No. 166, hexagonal axes)
Inequivalent atoms, fractional coordinates:
1 Pa 0.0000 0.0000 0.0000 x3
2 Si 0.0000 0.0000 0.5000 x3
3 Ir 0.0000 0.0000 0.2192 x6

Results
Fermi-level density of states: 0.75 states/eV/atom
DFT total energy: -107.792 eV/cell
Spin magnetization: 0.00 μB/f.u.
Energy relative to the elements, uncorrected: -822 meV/atom

=====

(4)
The following is a PBE calculation of an optimized crystal structure of PaSi7Ir3, from Alexandria via LeMat-Bulk.

abc: 7.6798 7.6798 20.0723
angles: 90.00 90.00 120.00
Space group R-3c (No. 167, hexagonal axes)
Inequivalent atoms, fractional coordinates:
1 Pa 0.0000 0.0000 0.0000 x6
2 Si 0.0000 0.0000 0.2500 x6
3 Si 0.0120 0.2068 0.1358 x36
4 Ir 0.0000 0.3176 0.2500 x18

Results
Fermi-level density of states: 0.58 states/eV/atom
DFT total energy: -482.911 eV/cell
Spin magnetization: 0.73 μB/f.u.
Energy relative to the elements, uncorrected: -586 meV/atom

=====

(5)
The following is a PBE calculation of an optimized crystal structure of Pa4Si6Ir7, from Alexandria via LeMat-Bulk.

abc: 8.3468 8.3468 8.3468
angles: 90.00 90.00 90.00
Space group Im-3m (No. 229)
Inequivalent atoms, fractional coordinates:
1 Pa 0.2500 0.2500 0.2500 x8
2 Si 0.0000 0.0000 0.3179 x12
3 Ir 0.0000 0.0000 0.0000 x2
4 Ir 0.0000 0.2500 0.5000 x12

Results
Fermi-level density of states: 0.90 states/eV/atom
DFT total energy: -293.984 eV/cell
Spin magnetization: 0.00 μB/f.u.
Energy relative to the elements, uncorrected: -850 meV/atom

=====

(6)
The following is a PBE calculation of an optimized crystal structure of Pa2Si2Ir, from Alexandria via LeMat-Bulk.

abc: 3.8026 5.5915 8.9340
angles: 90.00 90.00 90.00
Space group Immm (No. 71)
Inequivalent atoms, fractional coordinates:
1 Pa 0.0000 0.0000 0.2192 x4
2 Si 0.0000 0.2835 0.5000 x4
3 Ir 0.0000 0.5000 0.0000 x2

Results
Fermi-level density of states: 1.15 states/eV/atom
Energy above the lowest structure with this stoichiometry: 0.00 eV/f.u.
DFT total energy: -85.193 eV/cell
Spin magnetization: 0.00 μB/f.u.
Energy relative to the elements, uncorrected: -780 meV/atom